{"formula": "EuInHgSb", "functional": "GGA-PBE", "state": "relaxed", "cell": [[-2.5714, 4.4890, -1.8182], [-5.1058, -0.3714, -1.9651], [-4.1919, 2.0999, 2.8439]], "species": ["Sb", "In", "Hg", "Eu"], "frac_coords": [[0.0000, 0.0000, 0.0000], [0.2500, 0.2500, 0.2500], [0.5000, 0.5000, 0.5000], [0.7500, 0.7500, 0.7500]], "formation_energy_uncorrected_kj_per_mol_fu": -162, "crystal_system": "cubic", "space_group": "No. 216"}

---

{"formula": "LaPuTh2As4", "functional": "GGA-PBE", "state": "relaxed", "cell": [[8.5304, 0.0020, -0.0155], [-0.0040, 8.5304, -0.0155], [-4.2297, -4.2326, 6.0464]], "species": ["As", "Th", "As", "As", "As", "As", "Th", "La", "Th", "As", "Pu", "Pu", "La", "As", "Th", "As"], "frac_coords": [[0.2524, 0.2476, 0.4974], [0.0000, 0.0000, 0.5000], [0.7455, 0.2443, 0.9949], [0.7476, 0.7524, 0.9974], [0.2524, 0.2476, 0.0026], [0.7443, 0.2455, 0.4949], [0.5000, 0.5000, 0.0000], [0.0000, 0.5000, 0.0000], [0.5000, 0.0000, 0.5000], [0.2557, 0.7545, 0.5051], [0.0000, 0.0000, 0.0000], [0.5000, 0.5000, 0.5000], [0.0000, 0.5000, 0.5000], [0.2545, 0.7557, 0.0051], [0.5000, 0.0000, 0.0000], [0.7476, 0.7524, 0.5026]], "crystal_system": "orthorhombic", "e_form_ev_per_atom": -1.37, "space_group": "No. 74"}

---

{"formula": "Be2CdRu", "functional": "GGA-PBE", "state": "relaxed", "cell": [[-5.5119, -1.1507, -6.2280], [-3.3380, -2.4312, -7.3102], [-5.0039, -3.7716, -5.5883]], "species": ["Ru", "Be", "Be", "Cd"], "frac_coords": [[0.2644, 0.2644, 0.2644], [0.7374, 0.7374, 0.7374], [0.0017, 0.0017, 0.0017], [0.4965, 0.4965, 0.4965]], "crystal_system": "trigonal", "e_form_ev_per_atom": 0.40, "space_group": "No. 160"}

---

{"formula": "TiMnZn2", "functional": "GGA-PBE", "state": "relaxed", "cell": [[3.0520, 0.0000, 0.0000], [0.0000, 3.0520, 0.0000], [0.0000, 0.0000, 6.3189]], "species": ["Mn", "Ti", "Zn", "Zn"], "frac_coords": [[0.5000, 0.5000, 0.0000], [0.5000, 0.5000, 0.5000], [0.0000, 0.0000, 0.7680], [0.0000, 0.0000, 0.2320]], "crystal_system": "tetragonal", "e_form_ev_per_atom": -0.05, "space_group": "No. 123"}

---

{"formula": "Co4C3", "functional": "GGA-PBE", "state": "relaxed", "cell": [[4.1354, -0.2979, 7.5546], [5.7003, 2.6995, 5.8721], [-6.2346, -0.0841, -5.9485]], "species": ["Co", "Co", "Co", "C", "Co", "C", "C"], "frac_coords": [[0.4322, 0.4322, 0.0000], [0.5678, 0.5678, 0.0000], [0.8010, 0.8010, 0.0000], [0.3227, 0.3227, 0.0000], [0.1990, 0.1990, 0.0000], [0.0000, 0.0000, 0.0000], [0.6773, 0.6773, 0.0000]], "crystal_system": "tetragonal", "e_form_ev_per_atom": 0.65, "space_group": "No. 139"}

---

{"formula": "FeSbN3", "functional": "GGA-PBE", "state": "relaxed", "cell": [[-1.8774, 0.2367, 3.4780], [2.9678, -1.9639, 1.7357], [1.8288, 3.4300, 0.7537]], "species": ["N", "Sb", "N", "Fe", "N"], "frac_coords": [[0.0000, 0.0000, 0.5000], [0.0000, 0.0000, 0.0000], [0.5000, 0.0000, 0.0000], [0.5000, 0.5000, 0.5000], [0.0000, 0.5000, 0.0000]], "formation_energy_uncorrected_kj_per_mol_fu": 986, "crystal_system": "cubic", "space_group": "No. 221"}

---

{"formula": "NdDyTlPt", "functional": "GGA-PBE", "state": "relaxed", "cell": [[-2.6615, -2.2303, 3.9206], [1.9599, -4.1996, 2.4395], [1.7507, 0.4088, 4.9190]], "species": ["Nd", "Pt", "Dy", "Tl"], "frac_coords": [[0.0000, 0.0000, 0.0000], [0.2500, 0.2500, 0.2500], [0.5000, 0.5000, 0.5000], [0.7500, 0.7500, 0.7500]], "crystal_system": "cubic", "e_form_ev_per_atom": -0.64, "space_group": "No. 216"}

---

{"formula": "CaYPtN2", "functional": "GGA-PBE", "state": "relaxed", "cell": [[4.3273, 0.0000, 0.0000], [0.0000, 5.1164, 0.0000], [0.0000, 0.0000, 4.3273]], "species": ["Pt", "Ca", "N", "N", "Y"], "frac_coords": [[0.0000, 0.0000, 0.0000], [0.5000, 0.5000, 0.5000], [0.5000, 0.0000, 0.0000], [0.0000, 0.0000, 0.5000], [0.0000, 0.5000, 0.0000]], "formation_energy_uncorrected_kj_per_mol_fu": 575, "crystal_system": "tetragonal", "space_group": "No. 123"}